# 1
! TbAlHgPd | Alexandria via LeMat-Bulk | PBE | optimized geometry; values from VASP
! magnetization = 0.00 μB/atom
! symmetry = F-43m (216)
! calculated density = 10.17 g/cm³
! calculated volume = 80.5 Å³/cell
! crystal system = cubic
! formation energy from the elements = -0.5616 eV per atom
&SYSTEM
  ibrav = 0, nat = 4, ntyp = 4
/
ATOMIC_SPECIES
Tb 158.93 Tb.upf
Al 26.98 Al.upf
Hg 200.59 Hg.upf
Pd 106.42 Pd.upf
ATOMIC_POSITIONS crystal
Tb 0.000 0.000 0.000
Al 0.500 0.500 0.500
Hg 0.750 0.750 0.750
Pd 0.250 0.250 0.250
CELL_PARAMETERS angstrom
0.000 3.427 3.427
3.427 0.000 3.427
3.427 3.427 0.000


# 2
! Th2Al4HgPd3 | Alexandria via LeMat-Bulk | PBE | optimized geometry; values from VASP
! magnetization = 0.00 μB/atom
! symmetry = P-4m2 (115)
! calculated density = 9.07 g/cm³
! calculated volume = 199.9 Å³/cell
! crystal system = tetragonal
! formation energy from the elements = -0.7084 eV per atom
&SYSTEM
  ibrav = 0, nat = 10, ntyp = 4
/
ATOMIC_SPECIES
Th 232.04 Th.upf
Al 26.98 Al.upf
Hg 200.59 Hg.upf
Pd 106.42 Pd.upf
ATOMIC_POSITIONS crystal
Th 0.000 0.500 0.245
Th 0.500 0.000 0.755
Al 0.000 0.000 0.000
Al 0.000 0.500 0.642
Al 0.500 0.000 0.358
Al 0.500 0.500 0.000
Hg 0.000 0.000 0.500
Pd 0.000 0.500 0.874
Pd 0.500 0.000 0.126
Pd 0.500 0.500 0.500
CELL_PARAMETERS angstrom
4.361 0.000 0.000
0.000 4.361 0.000
0.000 0.000 10.511


# 3
! ThAlHgPd | Alexandria via LeMat-Bulk | PBE | optimized geometry; values from VASP
! magnetization = 0.00 μB/atom
! symmetry = F-43m (216)
! calculated density = 10.67 g/cm³
! calculated volume = 88.1 Å³/cell
! crystal system = cubic
! formation energy from the elements = -0.4371 eV per atom
&SYSTEM
  ibrav = 0, nat = 4, ntyp = 4
/
ATOMIC_SPECIES
Th 232.04 Th.upf
Al 26.98 Al.upf
Hg 200.59 Hg.upf
Pd 106.42 Pd.upf
ATOMIC_POSITIONS crystal
Th 0.000 0.000 0.000
Al 0.500 0.500 0.500
Hg 0.250 0.250 0.250
Pd 0.750 0.750 0.750
CELL_PARAMETERS angstrom
0.000 3.532 3.532
3.532 0.000 3.532
3.532 3.532 0.000


# 4
! Y2Al4HgPd3 | Alexandria via LeMat-Bulk | PBE | optimized geometry; values from VASP
! magnetization = 0.00 μB/atom
! symmetry = P-4m2 (115)
! calculated density = 6.89 g/cm³
! calculated volume = 194.1 Å³/cell
! crystal system = tetragonal
! formation energy from the elements = -0.7225 eV per atom
&SYSTEM
  ibrav = 0, nat = 10, ntyp = 4
/
ATOMIC_SPECIES
Y 88.91 Y.upf
Al 26.98 Al.upf
Hg 200.59 Hg.upf
Pd 106.42 Pd.upf
ATOMIC_POSITIONS crystal
Y 0.000 0.500 0.240
Y 0.500 0.000 0.760
Al 0.000 0.000 0.000
Al 0.000 0.500 0.644
Al 0.500 0.000 0.356
Al 0.500 0.500 0.000
Hg 0.000 0.000 0.500
Pd 0.000 0.500 0.871
Pd 0.500 0.000 0.129
Pd 0.500 0.500 0.500
CELL_PARAMETERS angstrom
4.262 0.000 0.000
0.000 4.262 0.000
0.000 0.000 10.686


# 5
! ZrAlHgPd | Alexandria via LeMat-Bulk | PBE | optimized geometry; values from VASP
! magnetization = 0.00 μB/atom
! symmetry = F-43m (216)
! calculated density = 9.55 g/cm³
! calculated volume = 74.0 Å³/cell
! crystal system = cubic
! formation energy from the elements = -0.3946 eV per atom
&SYSTEM
  ibrav = 0, nat = 4, ntyp = 4
/
ATOMIC_SPECIES
Zr 91.22 Zr.upf
Al 26.98 Al.upf
Hg 200.59 Hg.upf
Pd 106.42 Pd.upf
ATOMIC_POSITIONS crystal
Zr 0.000 0.000 0.000
Al 0.500 0.500 0.500
Hg 0.250 0.250 0.250
Pd 0.750 0.750 0.750
CELL_PARAMETERS angstrom
0.000 3.332 3.332
3.332 0.000 3.332
3.332 3.332 0.000


# 6
! PmAlHg2 | Alexandria via LeMat-Bulk | PBE | optimized geometry; values from VASP
! magnetization = 0.07 μB/atom
! symmetry = P4/mmm (123)
! calculated density = 10.09 g/cm³
! calculated volume = 94.3 Å³/cell
! crystal system = tetragonal
! formation energy from the elements = -0.2237 eV per atom
&SYSTEM
  ibrav = 0, nat = 4, ntyp = 3
/
ATOMIC_SPECIES
Pm 145.00 Pm.upf
Al 26.98 Al.upf
Hg 200.59 Hg.upf
ATOMIC_POSITIONS crystal
Pm 0.000 0.000 0.000
Al 0.000 0.000 0.500
Hg 0.500 0.500 0.282
Hg 0.500 0.500 0.718
CELL_PARAMETERS angstrom
3.595 0.000 0.000
0.000 3.595 0.000
0.000 0.000 7.300


# 7
! Pm2AlHg4 | Alexandria via LeMat-Bulk | PBE | optimized geometry; values from VASP
! magnetization = 0.00 μB/atom
! symmetry = R-3m (166)
! calculated density = 9.99 g/cm³
! calculated volume = 186.1 Å³/cell
! crystal system = trigonal
! formation energy from the elements = -0.2828 eV per atom
&SYSTEM
  ibrav = 0, nat = 7, ntyp = 3
/
ATOMIC_SPECIES
Pm 145.00 Pm.upf
Al 26.98 Al.upf
Hg 200.59 Hg.upf
ATOMIC_POSITIONS crystal
Pm 0.245 0.245 0.245
Pm 0.755 0.755 0.755
Al 0.500 0.500 0.500
Hg 0.118 0.118 0.118
Hg 0.371 0.371 0.371
Hg 0.629 0.629 0.629
Hg 0.882 0.882 0.882
CELL_PARAMETERS angstrom
2.549 1.472 8.269
-2.549 1.472 8.269
0.000 -2.943 8.269


# 8
! PmAlHg2 | Alexandria via LeMat-Bulk | PBE | optimized geometry; values from VASP
! magnetization = 0.00 μB/atom
! symmetry = Cmcm (63)
! calculated density = 9.98 g/cm³
! calculated volume = 190.7 Å³/cell
! crystal system = orthorhombic
! formation energy from the elements = -0.3132 eV per atom
&SYSTEM
  ibrav = 0, nat = 8, ntyp = 3
/
ATOMIC_SPECIES
Pm 145.00 Pm.upf
Al 26.98 Al.upf
Hg 200.59 Hg.upf
ATOMIC_POSITIONS crystal
Pm 0.101 0.899 0.750
Pm 0.899 0.101 0.250
Al 0.334 0.666 0.750
Al 0.666 0.334 0.250
Hg 0.265 0.735 0.250
Hg 0.463 0.537 0.750
Hg 0.537 0.463 0.250
Hg 0.735 0.265 0.750
CELL_PARAMETERS angstrom
1.951 -10.113 0.000
1.951 10.113 0.000
0.000 0.000 4.831


Repeat the second record exactly.
! Th2Al4HgPd3 | Alexandria via LeMat-Bulk | PBE | optimized geometry; values from VASP
! magnetization = 0.00 μB/atom
! symmetry = P-4m2 (115)
! calculated density = 9.07 g/cm³
! calculated volume = 199.9 Å³/cell
! crystal system = tetragonal
! formation energy from the elements = -0.7084 eV per atom
&SYSTEM
  ibrav = 0, nat = 10, ntyp = 4
/
ATOMIC_SPECIES
Th 232.04 Th.upf
Al 26.98 Al.upf
Hg 200.59 Hg.upf
Pd 106.42 Pd.upf
ATOMIC_POSITIONS crystal
Th 0.000 0.500 0.245
Th 0.500 0.000 0.755
Al 0.000 0.000 0.000
Al 0.000 0.500 0.642
Al 0.500 0.000 0.358
Al 0.500 0.500 0.000
Hg 0.000 0.000 0.500
Pd 0.000 0.500 0.874
Pd 0.500 0.000 0.126
Pd 0.500 0.500 0.500
CELL_PARAMETERS angstrom
4.361 0.000 0.000
0.000 4.361 0.000
0.000 0.000 10.511


> formation energy from the elements of number 7 (Pm2AlHg4)?

-0.2828 eV per atom